<i>
A relaxed CsTcAs2 crystal, computed with GGA-PBE.

The structure in CIF format:
```
data_CsTcAs2
_space_group_name_H-M_alt 'P 1'
_space_group_IT_number 1
_space_group_name_Hall 'P 1'
_cell_length_a 5.072
_cell_length_b 5.072
_cell_length_c 5.072
_cell_angle_alpha 60.00
_cell_angle_beta 60.00
_cell_angle_gamma 60.00
loop_
_atom_site_label
_atom_site_fract_x
_atom_site_fract_y
_atom_site_fract_z
Tc1 0.000 0.000 0.000
Cs1 0.500 0.500 0.500
As1 0.750 0.750 0.750
As2 0.250 0.250 0.250
```

<ii>
A relaxed CsTcAs2 crystal, computed with GGA-PBE.

The structure in CIF format:
```
data_CsTcAs2
_space_group_name_H-M_alt 'P 1'
_space_group_IT_number 1
_space_group_name_Hall 'P 1'
_cell_length_a 3.569
_cell_length_b 3.569
_cell_length_c 9.020
_cell_angle_alpha 78.59
_cell_angle_beta 78.59
_cell_angle_gamma 60.00
loop_
_atom_site_label
_atom_site_fract_x
_atom_site_fract_y
_atom_site_fract_z
Tc1 0.000 0.000 0.000
Cs1 0.500 0.500 0.500
As1 0.725 0.725 0.825
As2 0.275 0.275 0.175
```

<iii>
A relaxed CsTcAs2 crystal, computed with GGA-PBE.

The structure in CIF format:
```
data_CsTcAs2
_space_group_name_H-M_alt 'P 1'
_space_group_IT_number 1
_space_group_name_Hall 'P 1'
_cell_length_a 3.189
_cell_length_b 3.189
_cell_length_c 8.780
_cell_angle_alpha 90.00
_cell_angle_beta 90.00
_cell_angle_gamma 90.00
loop_
_atom_site_label
_atom_site_fract_x
_atom_site_fract_y
_atom_site_fract_z
As1 0.000 0.000 0.170
As2 0.000 0.000 0.830
Tc1 0.500 0.500 0.000
Cs1 0.500 0.500 0.500
```

Relative energies in eV/atom: <i> 1.028; <ii> 0.065; <iii> 0.000

<i>
A relaxed Cs3Te4As crystal, computed with GGA-PBE.

The structure in CIF format:
```
data_Cs3Te4As
_space_group_name_H-M_alt 'P 1'
_space_group_IT_number 1
_space_group_name_Hall 'P 1'
_cell_length_a 8.276
_cell_length_b 8.276
_cell_length_c 8.276
_cell_angle_alpha 89.66
_cell_angle_beta 113.87
_cell_angle_gamma 126.97
loop_
_atom_site_label
_atom_site_fract_x
_atom_site_fract_y
_atom_site_fract_z
Te1 0.130 0.801 0.329
Te2 0.179 0.683 0.862
Cs1 0.590 0.744 0.334
Te3 0.179 0.317 0.497
As1 0.015 0.500 0.515
Cs2 0.590 0.256 0.846
Cs3 0.940 0.000 0.940
Te4 0.528 0.199 0.329
```

<ii>
A relaxed Cs3Te4As crystal, computed with GGA-PBE.

The structure in CIF format:
```
data_Cs3Te4As
_space_group_name_H-M_alt 'P 1'
_space_group_IT_number 1
_space_group_name_Hall 'P 1'
_cell_length_a 9.449
_cell_length_b 11.692
_cell_length_c 13.715
_cell_angle_alpha 90.00
_cell_angle_beta 90.00
_cell_angle_gamma 90.00
loop_
_atom_site_label
_atom_site_fract_x
_atom_site_fract_y
_atom_site_fract_z
Te1 0.599 0.071 0.250
Te2 0.630 0.525 0.547
As1 0.180 0.067 0.750
Te3 0.099 0.429 0.250
As2 0.320 0.567 0.250
Cs1 0.330 0.595 0.750
Te4 0.220 0.775 0.250
Te5 0.370 0.475 0.453
Te6 0.720 0.725 0.250
Te7 0.401 0.929 0.750
Te8 0.870 0.025 0.047
Cs2 0.670 0.405 0.250
Te9 0.901 0.571 0.750
Te10 0.280 0.275 0.750
Te11 0.870 0.025 0.453
Cs3 0.013 0.320 0.953
Te12 0.780 0.225 0.750
Cs4 0.830 0.905 0.750
Cs5 0.487 0.820 0.453
As3 0.680 0.433 0.750
Cs6 0.170 0.095 0.250
Te13 0.130 0.975 0.547
As4 0.820 0.933 0.250
Cs7 0.513 0.180 0.547
Cs8 0.987 0.680 0.453
Te14 0.130 0.975 0.953
Cs9 0.487 0.820 0.047
Cs10 0.987 0.680 0.047
Te15 0.630 0.525 0.953
Cs11 0.013 0.320 0.547
Te16 0.370 0.475 0.047
Cs12 0.513 0.180 0.953
```

Relative energies in eV/atom: <i> 0.064; <ii> 0.000